# 1
A plane-wave DFT calculation with PBE was carried out for crystalline Al2AgCl at its relaxed geometry.

Theoretical density in g/cm³: 3.97
Raw total energy in eV per cell: -12.990
Space-group type: R3m, No. 160
E_form (uncorrected) in eV per formula unit: -0.81

a = 9.967 Å, b = 9.967 Å, c = 9.967 Å
α = 18.00°, β = 18.00°, γ = 18.00°
Positions (direct):
Al 0.991 0.991 0.991
Al 0.253 0.253 0.253
Cl 0.529 0.529 0.529
Ag 0.727 0.727 0.727


# 2
A plane-wave DFT calculation with PBE was carried out for crystalline Rh3BrN at its relaxed geometry.

Theoretical density in g/cm³: 6.72
Raw total energy in eV per cell: -21.249
Space-group type: Pm-3m, No. 221
E_form (uncorrected) in eV per formula unit: 10.80

a = 4.633 Å, b = 4.633 Å, c = 4.633 Å
α = 90.00°, β = 90.00°, γ = 90.00°
Site moments in Bohr magnetons follow the coordinates.
Positions (direct):
N 0.500 0.500 0.500  1.38
Rh 0.000 0.500 0.000  0.72
Rh 0.500 0.000 0.000  0.54
Rh 0.000 0.000 0.500  0.53
Br 0.000 0.000 0.000  0.04


# 3
A plane-wave DFT calculation with PBE was carried out for crystalline Ge2BMoAs at its relaxed geometry.

Theoretical density in g/cm³: 5.60
Formation energy in meV per atom: 1503
Raw total energy in eV per cell: -23.875
Space-group type: P4/mmm, No. 123

a = 4.976 Å, b = 3.917 Å, c = 4.976 Å
α = 90.00°, β = 90.00°, γ = 90.00°
Site moments in Bohr magnetons follow the coordinates.
Positions (direct):
As 0.000 0.000 0.000  0.00
B 0.000 0.500 0.000  -0.07
Mo 0.500 0.500 0.500  2.54
Ge 0.000 0.000 0.500  -0.05
Ge 0.500 0.000 0.000  -0.07


# 4
A plane-wave DFT calculation with PBE was carried out for crystalline Pt2SeCl at its relaxed geometry.

Theoretical density in g/cm³: 9.65
Raw total energy in eV per cell: -18.405
Space-group type: Cm, No. 8
E_form (uncorrected) in eV per formula unit: -0.99

a = 3.815 Å, b = 3.815 Å, c = 7.241 Å
α = 74.58°, β = 74.58°, γ = 59.99°
Positions (direct):
Se 0.535 0.535 0.392
Cl 0.720 0.720 0.842
Pt 0.254 0.254 0.238
Pt 0.991 0.991 0.027


# 5
A plane-wave DFT calculation with PBE was carried out for crystalline PrTmIn at its relaxed geometry.

Theoretical density in g/cm³: 7.99
Formation energy in meV per atom: -331
Raw total energy in eV per cell: -25.966
Space-group type: P6_3/mmc, No. 194

a = 5.460 Å, b = 5.460 Å, c = 6.835 Å
α = 90.00°, β = 90.00°, γ = 119.99°
Positions (direct):
Pr 0.000 0.500 0.000
Pr 0.000 0.500 0.500
In 0.667 0.833 0.250
In 0.333 0.167 0.750
Tm 0.667 0.833 0.750
Tm 0.333 0.167 0.250


# 6
A plane-wave DFT calculation with PBE was carried out for crystalline YInSe3 at its relaxed geometry.

Theoretical density in g/cm³: 4.59
Raw total energy in eV per cell: -51.232
Space-group type: Pm, No. 6
E_form (uncorrected) in eV per formula unit: -5.96

a = 4.194 Å, b = 7.426 Å, c = 10.951 Å
α = 110.65°, β = 90.00°, γ = 90.00°
Positions (direct):
In 0.401 0.907 0.176
In 0.901 0.240 0.412
Y 0.402 0.302 0.808
Y 0.902 0.847 0.779
Se 0.401 0.296 0.277
Se 0.902 0.420 0.659
Se 0.402 0.920 0.634
Se 0.902 0.229 0.954
Se 0.901 0.851 0.310
Se 0.402 0.728 0.929